<one>
PBE-GGA Ta3WN, relaxed; magnetization = 0.0 μB/f.u.
1.0
4.2587 0.0000 0.0000
0.0000 4.2587 0.0000
0.0000 0.0000 4.2587
Ta W N
3 1 1
Direct
0.0000 0.0000 0.5000
0.0000 0.5000 0.0000
0.5000 0.0000 0.0000
0.5000 0.5000 0.5000
0.0000 0.0000 0.0000

***

<two>
PBE-GGA Ta3WN, relaxed; magnetization = 0.0 μB/f.u.
1.0
4.8506 0.0000 0.0000
0.0000 4.8506 0.0000
0.0000 0.0000 4.8506
Ta W N
3 1 1
Direct
0.0000 0.0000 0.5000
0.0000 0.5000 0.0000
0.5000 0.0000 0.0000
0.0000 0.0000 0.0000
0.5000 0.5000 0.5000

***

Name the least stable of them. <two>.

***

<one>
PBE-GGA Y3TaN4, relaxed; magnetization = 0.0 μB/f.u.
1.0
3.3813 -4.7487 0.0000
3.3813 4.7487 0.0000
0.0000 0.0000 3.3505
Y Ta N
3 1 4
Direct
0.0000 0.0000 0.0000
0.0000 0.5000 0.5000
0.5000 0.0000 0.5000
0.5000 0.5000 0.0000
0.2663 0.7337 0.0000
0.2733 0.2733 0.5000
0.7267 0.7267 0.5000
0.7337 0.2663 0.0000

***

<two>
PBE-GGA Y3TaN4, relaxed; magnetization = 0.0 μB/f.u.
1.0
7.9104 0.0000 0.0000
0.0000 6.6670 0.0000
0.0000 0.0000 4.8749
Y Ta N
6 2 8
Direct
0.0000 0.1594 0.0000
0.2476 0.3306 0.4995
0.2524 0.6694 0.9995
0.5000 0.8406 0.5000
0.7476 0.6694 0.9995
0.7524 0.3306 0.4995
0.0000 0.8205 0.4695
0.5000 0.1795 0.9695
0.0000 0.1227 0.4969
0.0000 0.8231 0.0432
0.2332 0.6905 0.4946
0.2668 0.3095 0.9946
0.5000 0.1769 0.5432
0.5000 0.8773 0.9969
0.7332 0.3095 0.9946
0.7668 0.6905 0.4946

***

Name the least stable of them. <two>.

***

<one>
PBE-GGA YTa3N, relaxed; magnetization = 0.0 μB/f.u.
1.0
4.9112 0.0000 0.0000
0.0000 4.9112 0.0000
0.0000 0.0000 4.9112
Y Ta N
1 3 1
Direct
0.0000 0.0000 0.0000
0.0000 0.0000 0.5000
0.0000 0.5000 0.0000
0.5000 0.0000 0.0000
0.5000 0.5000 0.5000

***

<two>
PBE-GGA YTa3N, relaxed; magnetization = 0.0 μB/f.u.
1.0
4.4121 0.0000 0.0000
0.0000 4.4121 0.0000
0.0000 0.0000 4.4121
Y Ta N
1 3 1
Direct
0.0000 0.0000 0.0000
0.0000 0.5000 0.5000
0.5000 0.0000 0.5000
0.5000 0.5000 0.0000
0.5000 0.5000 0.5000

***

Name the least stable of them. <one>.

***

<one>
PBE-GGA ZrTa2N4, relaxed; magnetization = 0.0 μB/f.u.
1.0
1.5257 -5.0720 0.0000
1.5257 5.0720 0.0000
0.0000 0.0000 10.3148
Zr Ta N
2 4 8
Direct
0.1247 0.8753 0.7500
0.8753 0.1247 0.2500
0.3710 0.6290 0.5723
0.3710 0.6290 0.9277
0.6290 0.3710 0.0723
0.6290 0.3710 0.4277
0.0000 0.0000 0.0000
0.0000 0.0000 0.5000
0.2730 0.7270 0.1186
0.2730 0.7270 0.3814
0.4637 0.5363 0.7500
0.5363 0.4637 0.2500
0.7270 0.2730 0.6186
0.7270 0.2730 0.8814

***

<two>
PBE-GGA ZrTa2N4, relaxed; magnetization = 0.6 μB/f.u.
1.0
-2.1029 2.1029 5.4001
2.1029 -2.1029 5.4001
2.1029 2.1029 -5.4001
Zr Ta N
1 2 4
Direct
0.0000 0.0000 0.0000
0.3720 0.3720 0.0000
0.6280 0.6280 0.0000
0.0000 0.5000 0.5000
0.2058 0.2058 0.0000
0.5000 0.0000 0.5000
0.7942 0.7942 0.0000

***

Name the least stable of them. <two>.

***

<one>
PBE-GGA ZrTaN, relaxed; magnetization = 0.0 μB/f.u.
1.0
6.5547 0.0000 0.0000
0.0000 2.5359 2.8195
0.0000 -2.5359 2.8195
Zr Ta N
2 2 2
Direct
0.1400 0.2500 0.7500
0.8600 0.7500 0.2500
0.5000 0.1754 0.1754
0.5000 0.6754 0.6754
0.2089 0.8734 0.3734
0.7911 0.3734 0.8734

***

<two>
PBE-GGA ZrTaN, relaxed; magnetization = 0.0 μB/f.u.
1.0
3.3493 0.0000 0.0000
0.0000 3.3493 0.0000
0.0000 0.0000 7.8724
Zr Ta N
2 2 2
Direct
0.2500 0.2500 0.1430
0.7500 0.7500 0.8570
0.2500 0.2500 0.5890
0.7500 0.7500 0.4110
0.2500 0.2500 0.8581
0.7500 0.7500 0.1419

***

<three>
PBE-GGA ZrTaN, relaxed; magnetization = 0.0 μB/f.u.
1.0
3.1859 0.0000 0.0000
-1.5930 2.7591 0.0000
0.0000 0.0000 5.0821
Zr Ta N
1 1 1
Direct
0.0000 0.0000 0.0000
0.6667 0.3333 0.4955
0.3333 0.6667 0.7322

***

Name the least stable of them. <one>.

***

<one>
PBE-GGA ZrTa3N, relaxed; magnetization = 0.0 μB/f.u.
1.0
4.3494 0.0000 0.0000
0.0000 4.3494 0.0000
0.0000 0.0000 4.3494
Zr Ta N
1 3 1
Direct
0.0000 0.0000 0.0000
0.0000 0.5000 0.5000
0.5000 0.0000 0.5000
0.5000 0.5000 0.0000
0.5000 0.5000 0.5000

***

<two>
PBE-GGA ZrTa3N, relaxed; magnetization = 0.0 μB/f.u.
1.0
4.8881 0.0000 0.0000
0.0000 4.8881 0.0000
0.0000 0.0000 4.8881
Zr Ta N
1 3 1
Direct
0.0000 0.0000 0.0000
0.0000 0.0000 0.5000
0.0000 0.5000 0.0000
0.5000 0.0000 0.0000
0.5000 0.5000 0.5000

***

Name the least stable of them. <two>.

***

<one>
PBE-GGA Tb5N4, relaxed; magnetization = 0.0 μB/f.u.
1.0
-5.1510 5.1510 1.5659
5.1510 -5.1510 1.5659
5.1510 5.1510 -1.5659
Tb N
5 4
Direct
0.0000 0.0000 0.0000
0.0000 0.2617 0.2617
0.0000 0.7383 0.7383
0.2617 0.0000 0.2617
0.7383 0.0000 0.7383
0.3602 0.3602 0.7204
0.3602 0.6398 0.0000
0.6398 0.3602 0.0000
0.6398 0.6398 0.2796

***

<two>
PBE-GGA Tb5N4, relaxed; magnetization = 0.0 μB/f.u.
1.0
-4.8509 4.8509 1.7790
4.8509 -4.8509 1.7790
4.8509 4.8509 -1.7790
Tb N
5 4
Direct
0.0000 0.0000 0.0000
0.2407 0.4043 0.6450
0.4043 0.7593 0.1636
0.5957 0.2407 0.8364
0.7593 0.5957 0.3550
0.1226 0.2046 0.3272
0.2046 0.8774 0.0819
0.7954 0.1226 0.9181
0.8774 0.7954 0.6728

***

Name the least stable of them. <one>.

***

<one>
PBE-GGA TbN4, relaxed; magnetization = 0.0 μB/f.u.
1.0
4.6190 0.0000 0.0000
-2.1084 4.1122 0.0000
-1.4060 -1.9535 3.9516
Tb N
1 4
Direct
0.0000 0.0000 0.0000
0.2124 0.6008 0.0641
0.2134 0.1500 0.6118
0.4621 0.3999 0.6096
0.4629 0.8509 0.0636

***

<two>
PBE-GGA TbN4, relaxed; magnetization = 9.0 μB/f.u.
1.0
4.7579 0.0000 0.0000
0.0000 4.7579 0.0000
0.0000 0.0000 4.7579
Tb N
1 4
Direct
0.0000 0.0000 0.0000
0.0000 0.0000 0.5000
0.0000 0.5000 0.0000
0.5000 0.0000 0.0000
0.5000 0.5000 0.5000

***

Name the least stable of them. <two>.